A geometry-optimized Sm4Ru3C5 structure, computed with GGA-PBE.

Computed properties:
Energy relative to the elements ... -0.176 eV/atom
Energy ... -94.93 eV for the cell shown
Fermi-level density of states ... 0.565 states/eV per atom
Size of the total moment ... 0.0 μB/f.u.
Space-group type ... C2/m

Cell and atoms, written as POSCAR:
```
Sm4Ru3C5
1.0
-2.694 -0.656 2.775
-5.328 -1.696 -2.800
-0.038 -9.162 0.572
Sm Ru C
4 3 5
Direct
0.895 0.306 0.903
0.260 0.813 0.667
0.740 0.187 0.333
0.105 0.694 0.097
0.450 0.773 0.327
0.000 0.500 0.500
0.550 0.227 0.673
0.615 0.944 0.827
0.500 0.500 0.500
0.304 0.281 0.111
0.696 0.719 0.889
0.385 0.056 0.173
```

***

A geometry-optimized Ce3In4Au4 structure, computed with GGA-PBE.

Computed properties:
Energy relative to the elements ... -0.523 eV/atom
Energy ... -47.61 eV for the cell shown
Fermi-level density of states ... 2.127 states/eV per atom
Size of the total moment ... 3.1 μB/f.u.
Space-group type ... Immm

Cell and atoms, written as POSCAR:
```
Ce3In4Au4
1.0
4.453 0.000 0.000
0.000 7.756 0.000
-2.227 -3.878 7.776
Ce In Au
3 4 4
Direct
0.117 0.117 0.235
0.883 0.883 0.765
0.000 0.500 0.000
0.331 0.134 0.661
0.669 0.473 0.339
0.669 0.866 0.339
0.331 0.527 0.661
0.224 0.724 0.447
0.776 0.276 0.553
0.500 0.811 0.000
0.500 0.189 0.000
```

***

A geometry-optimized LaZrIn structure, computed with GGA-PBE.

Computed properties:
Energy relative to the elements ... 0.720 eV/atom
Energy ... -14.05 eV for the cell shown
Fermi-level density of states ... 1.298 states/eV per atom
Size of the total moment ... 1.9 μB/f.u.
Space-group type ... F-43m

Cell and atoms, written as POSCAR:
```
LaZrIn
1.0
-1.758 -4.222 2.449
2.655 -1.975 3.996
-1.888 0.393 4.816
In La Zr
1 1 1
Direct
0.500 0.500 0.500
0.750 0.750 0.750
0.000 0.000 0.000
```

***

A geometry-optimized YEr6Pu structure, computed with GGA-PBE.

Computed properties:
Energy relative to the elements ... 0.056 eV/atom
Energy ... -47.72 eV for the cell shown
Fermi-level density of states ... 2.498 states/eV per atom
Size of the total moment ... 6.8 μB/f.u.
Space-group type ... Amm2

Cell and atoms, written as POSCAR:
```
YEr6Pu
1.0
5.609 0.000 0.000
0.000 6.534 -2.778
0.000 -0.865 7.039
Y Er Pu
1 6 1
Direct
0.000 0.831 0.662
0.000 0.831 0.169
0.000 0.338 0.169
0.000 0.333 0.667
0.500 0.668 0.835
0.500 0.167 0.835
0.500 0.166 0.332
0.500 0.666 0.332
```

***

A geometry-optimized TlBi2Rh structure, computed with GGA-PBE.

Computed properties:
Energy relative to the elements ... -0.085 eV/atom
Energy ... -35.64 eV for the cell shown
Fermi-level density of states ... 0.426 states/eV per atom
Size of the total moment ... 0.0 μB/f.u.
Space-group type ... P2_1/m

Cell and atoms, written as POSCAR:
```
TlBi2Rh
1.0
3.989 0.008 0.000
-1.982 6.190 0.000
0.000 0.000 8.616
Tl Bi Rh
2 4 2
Direct
0.929 0.863 0.250
0.071 0.137 0.750
0.348 0.698 0.557
0.652 0.302 0.443
0.348 0.698 0.943
0.652 0.302 0.057
0.753 0.504 0.750
0.247 0.496 0.250
```

***

A geometry-optimized La2Er12Tm structure, computed with GGA-PBE.

Computed properties:
Energy relative to the elements ... 0.334 eV/atom
Energy ... -128.15 eV for the cell shown
Fermi-level density of states ... 1.671 states/eV per atom
Size of the total moment ... 0.0 μB/f.u.
Space-group type ... P4/nbm

Cell and atoms, written as POSCAR:
```
La2Er12Tm
1.0
-0.660 -4.141 4.848
0.700 -4.892 -4.083
24.572 0.421 3.707
La Er Tm
4 24 2
Direct
0.500 0.000 0.272
0.000 0.500 0.272
0.000 0.500 0.728
0.500 0.000 0.728
0.500 0.500 0.786
0.000 0.000 0.786
0.687 0.813 0.885
0.187 0.687 0.885
0.000 0.000 0.341
0.313 0.813 0.115
0.831 0.331 0.560
0.500 0.500 0.341
0.313 0.187 0.885
0.813 0.687 0.115
0.331 0.169 0.560
0.669 0.169 0.440
0.000 0.000 0.659
0.169 0.331 0.440
0.187 0.313 0.115
0.831 0.669 0.440
0.669 0.831 0.560
0.000 0.000 0.214
0.169 0.669 0.560
0.500 0.500 0.659
0.813 0.313 0.885
0.500 0.500 0.214
0.331 0.831 0.440
0.687 0.187 0.115
0.500 0.000 0.000
0.000 0.500 0.000
```

***

A geometry-optimized SmTa2VN4 structure, computed with GGA-PBE.

Computed properties:
Energy ... -158.90 eV for the cell shown
Fermi-level density of states ... 0.488 states/eV per atom
Size of the total moment ... 0.0 μB/f.u.
Space-group type ... Cmcm
Formation energy without anion corrections ... -1.0757 eV/atom

Cell and atoms, written as POSCAR:
```
SmTa2VN4
1.0
3.172 0.000 0.000
-1.586 5.496 0.000
0.000 0.000 10.947
Sm Ta V N
2 4 2 8
Direct
0.103 0.207 0.750
0.897 0.793 0.250
0.370 0.740 0.545
0.630 0.260 0.045
0.630 0.260 0.455
0.370 0.740 0.955
0.839 0.678 0.750
0.161 0.322 0.250
0.268 0.536 0.112
0.732 0.464 0.612
0.732 0.464 0.888
0.268 0.536 0.388
0.000 0.000 0.500
0.000 0.000 0.000
0.444 0.888 0.750
0.556 0.112 0.250
```

***

A geometry-optimized ZrW3N structure, computed with GGA-PBE.

Computed properties:
Energy ... -55.80 eV for the cell shown
Fermi-level density of states ... 0.652 states/eV per atom
Size of the total moment ... 0.0 μB/f.u.
Space-group type ... Pm-3m
Formation energy without anion corrections ... -0.0133 eV/atom

Cell and atoms, written as POSCAR:
```
ZrW3N
1.0
4.232 0.000 0.000
0.000 4.232 0.000
0.000 0.000 4.232
Zr W N
1 3 1
Direct
0.500 0.500 0.500
0.000 0.500 0.000
0.000 0.000 0.500
0.500 0.000 0.000
0.000 0.000 0.000
```

***

A geometry-optimized AlAs2Os structure, computed with GGA-PBE.

Computed properties:
Energy relative to the elements ... 0.396 eV/atom
Energy ... -22.69 eV for the cell shown
Fermi-level density of states ... 0.529 states/eV per atom
Size of the total moment ... 0.0 μB/f.u.
Space-group type ... C2/m

Cell and atoms, written as POSCAR:
```
AlAs2Os
1.0
5.559 -0.022 0.004
-3.022 4.666 0.004
1.013 1.854 2.577
As Os Al
2 1 1
Direct
0.000 0.000 0.000
0.500 0.500 0.000
0.500 0.000 0.500
0.000 0.500 0.500
```

***

A geometry-optimized ZrPdC3 structure, computed with GGA-PBE.

Computed properties:
Energy relative to the elements ... 1.964 eV/atom
Energy ... -31.60 eV for the cell shown
Fermi-level density of states ... 1.446 states/eV per atom
Size of the total moment ... 0.0 μB/f.u.
Space-group type ... Pm-3m

Cell and atoms, written as POSCAR:
```
ZrPdC3
1.0
3.993 0.000 0.000
0.000 3.993 0.000
0.000 0.000 3.993
C Zr Pd
3 1 1
Direct
0.000 0.500 0.000
0.000 0.000 0.500
0.500 0.000 0.000
0.500 0.500 0.500
0.000 0.000 0.000
```

***

Among the records above, which one has the highest energy?
LaZrIn